The following is a PBE calculation of CaPtAu after structural relaxation, from the Alexandria database.

Results
ΔH_f (0 K) = -0.15 eV per atom
Magnetization = 0.0 μB per formula unit
Volume = 24.0 Å³/atom

Unit cell a=4.6704 b=4.6704 c=4.6704 alpha=60.00 beta=60.00 gamma=60.00
Atoms (fractional coordinates):
Ca (0.0000, 0.0000, 0.0000)
Pt (0.7500, 0.7500, 0.7500)
Au (0.2500, 0.2500, 0.2500)